PuSiNiO6 | PBE+U | relaxed

The value obtained for the total energy is -7.84 eV per atom. Its size of the total moment is 0.000 μB/f.u. For the density of states at the Fermi level, the calculation gives 11.85 states/eV per cell.

Unit cell a=5.097 b=5.097 c=8.780 alpha=90.00 beta=90.00 gamma=120.00
Each line ends with the local moment (μB).
Atoms (fractional coordinates):
1 Pu 0.333 0.667 0.250  -2.55
2 Pu 0.667 0.333 0.750  -2.55
3 Si 0.667 0.333 0.250  0.00
4 Si 0.333 0.667 0.750  0.00
5 Ni 0.000 0.000 0.000  1.80
6 Ni 0.000 0.000 0.500  1.80
7 O 0.671 0.631 0.135  0.11
8 O 0.960 0.329 0.135  0.11
9 O 0.329 0.960 0.635  0.11
10 O 0.040 0.671 0.865  0.11
11 O 0.369 0.329 0.365  0.11
12 O 0.960 0.631 0.365  0.11
13 O 0.631 0.960 0.865  0.11
14 O 0.671 0.040 0.365  0.11
15 O 0.040 0.369 0.635  0.11
16 O 0.369 0.040 0.135  0.11
17 O 0.631 0.671 0.635  0.11
18 O 0.329 0.369 0.865  0.11